Record 1
Density functional theory data (PBE) for an optimized crystal structure of PuHS.

a = 4.327 Å, b = 4.327 Å, c = 4.327 Å
α = 60.00°, β = 60.00°, γ = 60.00°
Positions (direct):
Pu: 0.000 0.000 0.000
H: 0.250 0.250 0.250
S: 0.750 0.750 0.750

Calculated values
magnetization	5.00	μB/cell
calculated density	8.03	g/cm³
VASP energy	-8.2421	eV per atom

Record 2
Density functional theory data (PBE) for an optimized crystal structure of Pu6H7S.

a = 7.138 Å, b = 7.138 Å, c = 7.138 Å
α = 53.23°, β = 53.23°, γ = 53.23°
Positions (direct):
Pu: 0.004 0.635 0.361
Pu: 0.177 0.525 0.807
Pu: 0.361 0.004 0.635
Pu: 0.525 0.807 0.177
Pu: 0.635 0.361 0.004
Pu: 0.807 0.177 0.525
H: 0.204 0.908 0.520
H: 0.261 0.660 0.956
H: 0.418 0.418 0.418
H: 0.520 0.204 0.908
H: 0.660 0.956 0.261
H: 0.908 0.520 0.204
H: 0.956 0.261 0.660
S: 0.084 0.084 0.084

Calculated values
magnetization	34.88	μB/cell
calculated density	11.53	g/cm³
VASP energy	-8.5176	eV per atom

Record 3
Density functional theory data (PBE) for an optimized crystal structure of PuHS.

a = 4.567 Å, b = 4.567 Å, c = 4.567 Å
α = 134.06°, β = 134.06°, γ = 66.99°
Positions (direct):
Pu: 0.000 0.000 0.000
H: 0.314 0.314 0.000
S: 0.648 0.648 0.000

Calculated values
magnetization	5.00	μB/cell
calculated density	9.51	g/cm³
VASP energy	-8.1014	eV per atom

Record 4
Density functional theory data (PBE) for an optimized crystal structure of Pu4H2S5.

a = 9.213 Å, b = 9.213 Å, c = 9.213 Å
α = 156.11°, β = 135.71°, γ = 50.94°
Positions (direct):
Pu: 0.206 0.206 0.000
Pu: 0.220 0.500 0.720
Pu: 0.780 0.500 0.280
Pu: 0.794 0.794 0.000
H: 0.062 0.062 0.000
H: 0.938 0.938 0.000
S: 0.095 0.337 0.758
S: 0.421 0.663 0.758
S: 0.500 0.000 0.500
S: 0.579 0.337 0.242
S: 0.905 0.663 0.242

Calculated values
magnetization	20.00	μB/cell
calculated density	8.58	g/cm³
VASP energy	-8.9331	eV per atom

Record 5
Density functional theory data (PBE) for an optimized crystal structure of PuHS2.

a = 6.496 Å, b = 6.496 Å, c = 6.496 Å
α = 37.30°, β = 37.30°, γ = 37.30°
Positions (direct):
Pu: 0.000 0.000 0.000
H: 0.500 0.500 0.500
S: 0.410 0.410 0.410
S: 0.590 0.590 0.590

Calculated values
magnetization	5.00	μB/cell
calculated density	5.69	g/cm³
VASP energy	-7.4910	eV per atom

Record 6
Density functional theory data (PBE) for an optimized crystal structure of PuHS.

a = 5.841 Å, b = 5.841 Å, c = 5.841 Å
α = 146.84°, β = 113.89°, γ = 75.99°
Positions (direct):
Pu: 0.158 0.408 0.750
Pu: 0.342 0.092 0.250
H: 0.511 0.250 0.761
H: 0.989 0.750 0.739
S: 0.250 0.740 0.490
S: 0.750 0.760 0.010

Calculated values
magnetization	0.00	μB/cell
calculated density	9.41	g/cm³
VASP energy	-7.5052	eV per atom

Record 7
Density functional theory data (PBE) for an optimized crystal structure of PuH2S.

a = 4.520 Å, b = 4.520 Å, c = 4.520 Å
α = 47.75°, β = 47.75°, γ = 47.75°
Positions (direct):
Pu: 0.000 0.000 0.000
H: 0.296 0.296 0.296
H: 0.704 0.704 0.704
S: 0.500 0.500 0.500

Calculated values
magnetization	4.02	μB/cell
calculated density	9.97	g/cm³
VASP energy	-6.9614	eV per atom

Record 8
Density functional theory data (PBE) for an optimized crystal structure of Pu2TeH2S.

a = 3.922 Å, b = 3.922 Å, c = 7.837 Å
α = 90.00°, β = 90.00°, γ = 120.00°
Positions (direct):
Pu: 0.333 0.667 0.220
Pu: 0.667 0.333 0.780
Te: 0.000 0.000 0.500
H: 0.333 0.667 0.767
H: 0.667 0.333 0.233
S: 0.000 0.000 0.000

Calculated values
magnetization	10.00	μB/cell
calculated density	10.33	g/cm³
VASP energy	-8.1351	eV per atom

Record 9
Density functional theory data (PBE) for an optimized crystal structure of Pu5Sb3H.

a = 8.910 Å, b = 8.910 Å, c = 8.910 Å
α = 125.01°, β = 125.01°, γ = 81.52°
Positions (direct):
Pu: 0.000 0.000 0.000
Pu: 0.003 0.503 0.815
Pu: 0.188 0.003 0.500
Pu: 0.312 0.812 0.815
Pu: 0.497 0.312 0.500
Pu: 0.500 0.500 0.000
Pu: 0.503 0.688 0.500
Pu: 0.688 0.188 0.185
Pu: 0.812 0.997 0.500
Pu: 0.997 0.497 0.185
Sb: 0.145 0.355 0.500
Sb: 0.250 0.250 0.000
Sb: 0.355 0.855 0.211
Sb: 0.645 0.145 0.789
Sb: 0.750 0.750 0.000
Sb: 0.855 0.645 0.500
H: 0.250 0.750 0.500
H: 0.750 0.250 0.500

Calculated values
magnetization	60.03	μB/cell
calculated density	11.53	g/cm³
VASP energy	-10.2599	eV per atom

Record 10
Density functional theory data (PBE) for an optimized crystal structure of Pu3Sb3H2.

a = 9.784 Å, b = 9.784 Å, c = 9.784 Å
α = 154.95°, β = 154.40°, γ = 36.13°
Positions (direct):
Pu: 0.000 0.000 0.000
Pu: 0.305 0.805 0.500
Pu: 0.695 0.195 0.500
Sb: 0.131 0.631 0.500
Sb: 0.500 0.500 0.000
Sb: 0.869 0.369 0.500
H: 0.250 0.250 0.000
H: 0.750 0.750 0.000

Calculated values
magnetization	5.14	μB/cell
calculated density	10.67	g/cm³
VASP energy	-8.2491	eV per atom

Record 11
Density functional theory data (PBE) for an optimized crystal structure of Pu2Sb2H.

a = 7.847 Å, b = 7.847 Å, c = 7.421 Å
α = 90.00°, β = 90.00°, γ = 153.34°
Positions (direct):
Pu: 0.070 0.930 0.500
Pu: 0.388 0.612 0.224
Pu: 0.612 0.388 0.724
Pu: 0.930 0.070 0.000
Sb: 0.254 0.746 0.914
Sb: 0.408 0.592 0.644
Sb: 0.592 0.408 0.144
Sb: 0.746 0.254 0.414
H: 0.045 0.955 0.821
H: 0.955 0.045 0.321

Calculated values
magnetization	0.11	μB/cell
calculated density	11.87	g/cm³
VASP energy	-8.3091	eV per atom

Record 12
Density functional theory data (PBE) for an optimized crystal structure of Pu3Sb3H.

a = 8.115 Å, b = 8.115 Å, c = 5.974 Å
α = 91.13°, β = 91.13°, γ = 112.70°
Positions (direct):
Pu: 0.073 0.073 0.256
Pu: 0.177 0.438 0.747
Pu: 0.438 0.177 0.747
Pu: 0.562 0.823 0.253
Pu: 0.823 0.562 0.253
Pu: 0.927 0.927 0.744
Sb: 0.201 0.799 0.000
Sb: 0.207 0.793 0.500
Sb: 0.403 0.403 0.238
Sb: 0.597 0.597 0.762
Sb: 0.793 0.207 0.500
Sb: 0.799 0.201 0.000
H: 0.162 0.162 0.623
H: 0.838 0.838 0.377

Calculated values
magnetization	10.75	μB/cell
calculated density	10.06	g/cm³
VASP energy	-8.8394	eV per atom